No. 1
Density functional theory data (PBEsol) for an optimized crystal structure of LaBeAg2Te.

a = 5.0859 Å, b = 5.0859 Å, c = 6.0030 Å
α = 90.00°, β = 90.00°, γ = 90.00°
Closest atoms and distances in Å follow each position.
Space group P4/mmm (No. 123)
One atom of each set of equivalent atoms:
La (0.0000, 0.0000, 0.0000) (multiplicity 1)  2 Te 3.00
Be (0.5000, 0.5000, 0.0000) (multiplicity 1)  4 La 3.60, 8 Ag 3.93
Ag (0.0000, 0.5000, 0.5000) (multiplicity 2)  2 Te 2.54
Te (0.0000, 0.0000, 0.5000) (multiplicity 1)  4 Ag 2.54

Calculated values
**Formation energy from raw total energies**: 3.4 eV per formula unit
**Crystal system**: tetragonal
**D(E_F)**: 0.85 states/eV per atom

=====

No. 2
Density functional theory data (PBEsol) for an optimized crystal structure of Mg2BeAg.

a = 3.1284 Å, b = 3.1284 Å, c = 6.7852 Å
α = 90.00°, β = 90.00°, γ = 90.00°
Closest atoms and distances in Å follow each position.
Space group P4mm (No. 99)
One atom of each set of equivalent atoms:
Mg (0.0000, 0.0000, 0.0000) (multiplicity 1)  1 Ag 2.76, 4 Be 2.78
Mg (0.5000, 0.5000, 0.3264) (multiplicity 1)  4 Ag 2.86, 1 Be 2.89, 8 Mg 3.13
Be (0.5000, 0.5000, 0.7522) (multiplicity 1)  4 Ag 2.46
Ag (0.0000, 0.0000, 0.5926) (multiplicity 1)  4 Be 2.46

Calculated values
**Crystal system**: tetragonal
**D(E_F)**: 0.24 states/eV per atom
**Formation enthalpy at 0 K**: 0.050 eV/atom

=====

Repeat the first record exactly.
Density functional theory data (PBEsol) for an optimized crystal structure of LaBeAg2Te.

a = 5.0859 Å, b = 5.0859 Å, c = 6.0030 Å
α = 90.00°, β = 90.00°, γ = 90.00°
Closest atoms and distances in Å follow each position.
Space group P4/mmm (No. 123)
One atom of each set of equivalent atoms:
La (0.0000, 0.0000, 0.0000) (multiplicity 1)  2 Te 3.00
Be (0.5000, 0.5000, 0.0000) (multiplicity 1)  4 La 3.60, 8 Ag 3.93
Ag (0.0000, 0.5000, 0.5000) (multiplicity 2)  2 Te 2.54
Te (0.0000, 0.0000, 0.5000) (multiplicity 1)  4 Ag 2.54

Calculated values
**Formation energy from raw total energies**: 3.4 eV per formula unit
**Crystal system**: tetragonal
**D(E_F)**: 0.85 states/eV per atom

=====

- What is the D(E_F) in the second record?
  0.24 states/eV per atom